1.
Here is a geometry-optimized RbTm2CuCl8 structure from the Alexandria database. Energies are from PBE.

raw formation energy: -181.9 kJ per mole of atoms
energy: -0.3148 Ry per atom
V: 420.95 Å³/cell

Cell lengths 7.242, 8.238, 7.990 Å; angles 98.59, 86.94, 64.29 degrees
Each line ends with the local moment (μB).
Fractional positions:
1 Rb 0.000 0.000 0.500  0.00
2 Cu 0.000 0.000 0.000  0.14
3 Cl 0.512 0.705 0.503  0.00
4 Cl 0.905 0.242 0.189  0.01
5 Cl 0.891 0.390 0.722  0.00
6 Cl 0.511 0.708 0.062  0.00
7 Cl 0.489 0.292 0.938  0.00
8 Cl 0.488 0.295 0.497  0.00
9 Cl 0.095 0.758 0.811  0.01
10 Cl 0.109 0.610 0.278  0.00
11 Tm 0.492 0.472 0.242  0.00
12 Tm 0.508 0.528 0.758  0.00

2.
Here is a geometry-optimized TaTl2CuS4 structure from the Alexandria database. Energies are from PBE.

raw formation energy: -64.7 kJ per mole of atoms
energy: -0.3910 Ry per atom
V: 439.35 Å³/cell

Cell lengths 5.603, 7.350, 11.875 Å; angles 84.84, 76.35, 67.59 degrees
Fractional positions:
1 S 0.913 0.807 0.886
2 S 0.470 0.693 0.386
3 S 0.837 0.693 0.614
4 S 0.549 0.307 0.614
5 S 0.201 0.193 0.886
6 S 0.144 0.307 0.386
7 S 0.606 0.193 0.114
8 S 0.280 0.807 0.114
9 Ta 0.750 0.500 0.500
10 Ta 0.000 0.000 0.000
11 Cu 0.250 0.500 0.500
12 Cu 0.500 0.000 0.000
13 Tl 0.825 0.000 0.349
14 Tl 0.175 0.000 0.651
15 Tl 0.575 0.500 0.849
16 Tl 0.925 0.500 0.151

3.
Here is a geometry-optimized RbSi2Hg structure from the Alexandria database. Energies are from PBE.

distance to the lowest polymorph of the same formula: 0 meV per atom
raw formation energy: 31.1 kJ per mole of atoms
energy: -0.1990 Ry per atom
V: 243.79 Å³/cell

Cell lengths 5.047, 5.047, 10.213 Å; angles 75.69, 75.69, 90.00 degrees
Fractional positions:
1 Si 0.875 0.125 0.250
2 Si 0.875 0.125 0.750
3 Si 0.375 0.125 0.750
4 Si 0.875 0.625 0.250
5 Hg 0.000 0.000 0.000
6 Hg 0.750 0.250 0.500
7 Rb 0.250 0.750 0.500
8 Rb 0.500 0.500 0.000

4.
Here is a geometry-optimized Rb2Li2Al structure from the Alexandria database. Energies are from PBE.

formation energy from the elements: 265 meV per atom
distance to the lowest polymorph of the same formula: 0 meV per atom
energy: -0.1203 Ry per atom
V: 381.26 Å³/cell

Cell lengths 7.826, 7.826, 6.225 Å; angles 90.00, 90.00, 90.00 degrees
Fractional positions:
1 Li 0.827 0.673 0.000
2 Li 0.327 0.827 0.000
3 Li 0.173 0.327 0.000
4 Li 0.673 0.173 0.000
5 Rb 0.182 0.682 0.500
6 Rb 0.318 0.182 0.500
7 Rb 0.682 0.818 0.500
8 Rb 0.818 0.318 0.500
9 Al 0.000 0.000 0.000
10 Al 0.500 0.500 0.000

5.
Here is a geometry-optimized BaNb3S structure from the Alexandria database. Energies are from PBE.

distance to the lowest polymorph of the same formula: 2281 meV per atom
raw formation energy: 260.4 kJ per mole of atoms
energy: -0.3346 Ry per atom
V: 132.27 Å³/cell

Cell lengths 5.095, 5.095, 5.095 Å; angles 90.00, 90.00, 90.00 degrees
Fractional positions:
1 S 0.500 0.500 0.500
2 Nb 0.000 0.000 0.500
3 Nb 0.500 0.000 0.000
4 Nb 0.000 0.500 0.000
5 Ba 0.000 0.000 0.000

6.
Here is a geometry-optimized HRhAu structure from the Alexandria database. Energies are from PBE.

distance to the lowest polymorph of the same formula: 143 meV per atom
energy: -0.3271 Ry per atom
V: 37.03 Å³/cell

Cell lengths 2.747, 2.747, 5.278 Å; angles 105.08, 105.08, 90.00 degrees
Fractional positions:
1 Rh 0.733 0.733 0.466
2 H 0.259 0.259 0.518
3 Au 0.008 0.008 0.016

Calculated size of the total moment (Bohr magnetons per cell), listed in the same order as above: 0.18; 0.00; 0.00; 0.00; 0.00; 0.03